Record 1
Computed, not measured: a relaxed structure of LiTa2Ag at the GGA-PBE level of DFT.

```
data_LiTa2Ag
_chemical_formula_sum 'Li1 Ta2 Ag1'
_space_group_name_H-M_alt 'P 1 m 1'
_space_group_IT_number 6
_space_group_name_Hall 'P -2y'
_cell_length_a 2.6635
_cell_length_b 4.4724
_cell_length_c 5.9244
_cell_angle_alpha 90.00
_cell_angle_beta 102.99
_cell_angle_gamma 90.00
loop_
_atom_site_label
_atom_site_type_symbol
_atom_site_fract_x
_atom_site_fract_y
_atom_site_fract_z
Li1 Li 0.0000 0.0000 0.0000
Ta1 Ta 0.2745 0.0000 0.5051
Ta2 Ta 0.6416 0.5000 0.2457
Ag1 Ag 0.9157 0.5000 0.7742
```

Properties
energy of formation	1.22	eV per formula unit
magnetization	0.0	μB per formula unit

Record 2
Computed, not measured: a relaxed structure of Ba2Li2HoSe4 at the GGA-PBE level of DFT.

```
data_Ba2Li2HoSe4
_chemical_formula_sum 'Ba4 Li4 Ho2 Se8'
_space_group_name_H-M_alt 'C 1 2/m 1'
_space_group_IT_number 12
_space_group_name_Hall '-C 2y'
_cell_length_a 15.5165
_cell_length_b 4.2404
_cell_length_c 7.6330
_cell_angle_alpha 90.00
_cell_angle_beta 110.30
_cell_angle_gamma 90.00
loop_
_atom_site_label
_atom_site_type_symbol
_atom_site_fract_x
_atom_site_fract_y
_atom_site_fract_z
Ba1 Ba 0.1337 0.0000 0.0583
Li1 Li 0.1797 0.5000 0.4927
Ho1 Ho 0.0000 0.0000 0.5000
Se1 Se 0.0169 0.5000 0.2539
Se2 Se 0.2018 0.0000 0.6897
```

Properties
magnetization	0.0	μB per formula unit
formation energy without anion corrections	-1641	meV per atom

Record 3
Computed, not measured: a relaxed structure of Pu2SnSb at the GGA-PBE level of DFT.

```
data_Pu2SnSb
_chemical_formula_sum 'Pu2 Sn1 Sb1'
_space_group_name_H-M_alt 'P 4/m m m'
_space_group_IT_number 123
_space_group_name_Hall '-P 4 2'
_cell_length_a 3.4150
_cell_length_b 3.4150
_cell_length_c 8.9350
_cell_angle_alpha 90.00
_cell_angle_beta 90.00
_cell_angle_gamma 90.00
loop_
_atom_site_label
_atom_site_type_symbol
_atom_site_fract_x
_atom_site_fract_y
_atom_site_fract_z
Pu1 Pu 0.0000 0.0000 0.2448
Sn1 Sn 0.5000 0.5000 0.5000
Sb1 Sb 0.5000 0.5000 0.0000
```

Properties
magnetization	11.7	μB per formula unit
formation energy without anion corrections	-479	meV per atom